La2Nd6Dy3Y: optimized geometry, PBE.

Cell lengths 6.331, 6.331, 12.071 Å; angles 95.03, 95.03, 120.02 degrees
Positions (direct):
La 0.167 0.833 0.000
La 0.833 0.167 0.000
Nd 0.082 0.415 0.745
Nd 0.252 0.252 0.255
Nd 0.415 0.082 0.745
Nd 0.585 0.918 0.255
Nd 0.748 0.748 0.745
Nd 0.918 0.585 0.255
Dy 0.000 0.000 0.500
Dy 0.334 0.666 0.500
Dy 0.666 0.334 0.500
Y 0.500 0.500 0.000

Energy   -58.52 eV per cell


Na4TlSn4: optimized geometry, PBE.

Cell lengths 7.691, 7.691, 7.691 Å; angles 95.25, 95.25, 144.78 degrees
Positions (direct):
Na 0.168 0.168 0.336
Na 0.168 0.832 0.000
Na 0.832 0.168 0.000
Na 0.832 0.832 0.664
Tl 0.500 0.500 0.000
Sn 0.155 0.500 0.655
Sn 0.500 0.155 0.655
Sn 0.500 0.845 0.345
Sn 0.845 0.500 0.345

Energy   -24.94 eV per cell


Zr2MnRuN: optimized geometry, PBE.

Cell lengths 4.569, 4.569, 3.583 Å; angles 90.00, 90.00, 90.00 degrees
Positions (direct):
Zr 0.000 0.500 0.000
Zr 0.500 0.000 0.000
Mn 0.000 0.000 0.500
Ru 0.500 0.500 0.500
N 0.000 0.000 0.000

Energy relative to the elements, uncorrected   -0.7184 eV/atom
Energy   -47.46 eV per cell


ZnRe2Cl: optimized geometry, PBE.

Cell lengths 3.524, 3.524, 6.384 Å; angles 90.00, 90.00, 90.00 degrees
Positions (direct):
Zn 0.000 0.000 0.000
Re 0.000 0.500 0.500
Re 0.500 0.000 0.500
Cl 0.500 0.500 0.000

Energy relative to the elements, uncorrected   1.1586 eV/atom
Polymorph energy (0 for the lowest one)   1085 meV/atom
Energy   -23.38 eV per cell